(1)
Material: Dy6Hg3Pt
Method: DFT, PBE
State: optimized geometry

Computed properties:
- formation energy from the elements (eV per atom) = -0.511
- crystal system = orthorhombic
- D(E_F) (states/eV/cell) = 15.87

Cell: 5.1155 8.8953 11.7695 Å, 90.00 90.00 90.00°
With the nearest neighbours (Å) after each atom.
Fractional positions:
Dy1 0.5000 0.1562 0.9148  2 Pt 3.08, 1 Hg 3.22, 3 Dy 3.42-3.43
Dy2 0.5000 0.1852 0.5875  1 Pt 2.98, 2 Hg 3.21
Dy3 0.4999 0.4919 0.2576  1 Pt 2.85, 4 Hg 2.98-3.03
Dy4 0.5001 0.5081 0.7424  1 Pt 2.85, 4 Hg 2.98-3.03
Dy5 0.5000 0.8148 0.4125  1 Pt 2.98, 2 Hg 3.21
Dy6 0.5000 0.8438 0.0852  2 Pt 3.08, 1 Hg 3.22, 3 Dy 3.42-3.43
Dy7 0.0000 0.3438 0.4148  2 Pt 3.08, 1 Hg 3.22, 3 Dy 3.42-3.43
Dy8 0.0000 0.3148 0.0875  1 Pt 2.98, 2 Hg 3.21
Dy9 0.9999 0.0081 0.7576  1 Pt 2.85, 4 Hg 2.98-3.03
Dy10 0.0001 0.9919 0.2424  1 Pt 2.85, 4 Hg 2.98-3.03
Dy11 0.0000 0.6852 0.9125  1 Pt 2.98, 2 Hg 3.21
Dy12 0.0000 0.6562 0.5852  2 Pt 3.08, 1 Hg 3.22, 3 Dy 3.42-3.43
Hg1 0.4999 0.8428 0.7239  3 Dy 2.98-2.99
Hg2 0.5000 0.5000 0.0000  8 Dy 3.03-3.22
Hg3 0.5001 0.1572 0.2761  3 Dy 2.98-2.99
Hg4 0.9999 0.6572 0.2239  3 Dy 2.98-2.99
Hg5 0.0000 0.0000 0.5000  8 Dy 3.03-3.22
Hg6 0.0001 0.3428 0.7761  3 Dy 2.98-2.99
Pt1 0.5000 0.5000 0.5000  8 Dy 2.85-3.08
Pt2 0.0000 0.0000 0.0000  8 Dy 2.85-3.08

---

(2)
Material: Dy2HgPt
Method: DFT, PBE
State: optimized geometry

Computed properties:
- formation energy from the elements (eV per atom) = -0.790
- crystal system = monoclinic
- D(E_F) (states/eV/cell) = 3.18

Cell: 4.1043 4.1043 7.7589 Å, 74.80 74.80 60.10°
With the nearest neighbours (Å) after each atom.
Fractional positions:
Dy1 0.0686 0.0686 0.7924  3 Pt 2.83
Dy2 0.2646 0.2646 0.2065  3 Pt 2.81
Hg1 0.5009 0.5009 0.4987  6 Dy 3.20-3.22
Pt1 0.6658 0.6658 0.0024  6 Dy 2.81-2.83

---

(3)
Material: Dy2HgPt
Method: DFT, PBE
State: optimized geometry

Computed properties:
- formation energy from the elements (eV per atom) = -0.798
- crystal system = trigonal
- D(E_F) (states/eV/cell) = 3.15

Cell: 4.0733 4.0733 7.8500 Å, 74.96 74.96 60.00°
With the nearest neighbours (Å) after each atom.
Fractional positions:
Hg1 0.5000 0.5000 0.5000  6 Dy 3.21
Pt1 0.0000 0.0000 0.0000  6 Dy 2.82
Dy1 0.2641 0.2641 0.2077  3 Pt 2.82
Dy2 0.7359 0.7359 0.7923  3 Pt 2.82

---

(4)
Material: Dy4Hg5Pt2
Method: DFT, PBE
State: optimized geometry

Computed properties:
- formation energy from the elements (eV per atom) = -0.699
- crystal system = monoclinic
- D(E_F) (states/eV/cell) = 7.40

Cell: 3.5991 7.6818 9.6954 Å, 94.00 90.00 90.00°
With the nearest neighbours (Å) after each atom.
Fractional positions:
Dy1 0.5000 0.7759 0.5604  4 Pt 2.93-2.97, 2 Hg 3.27
Dy2 0.5000 0.1786 0.8528  2 Pt 2.82
Dy3 0.5000 0.2241 0.4396  4 Pt 2.93-2.97, 2 Hg 3.27
Dy4 0.5000 0.8214 0.1472  2 Pt 2.82
Hg1 0.0000 0.5405 0.3282  1 Pt 2.96, 2 Hg 3.18-3.27, 2 Dy 3.27
Hg2 0.0000 0.1704 0.1399  1 Pt 2.95, 2 Hg 2.95-3.27, 2 Dy 3.23
Hg3 0.0000 0.5000 0.0000  4 Hg 2.95-3.18, 4 Dy 3.30
Hg4 0.0000 0.8296 0.8601  1 Pt 2.95, 2 Hg 2.95-3.27, 2 Dy 3.23
Hg5 0.0000 0.4595 0.6718  1 Pt 2.96, 2 Hg 3.18-3.27, 2 Dy 3.27
Pt1 0.0000 0.0741 0.6385  6 Dy 2.82-2.97, 1 Pt 2.84, 2 Hg 2.95-2.96
Pt2 0.0000 0.9259 0.3615  6 Dy 2.82-2.97, 1 Pt 2.84, 2 Hg 2.95-2.96